No. 1
Here is TmGa2AgAu2 after structural relaxation from Alexandria. Energies are from PBE.

Summary:
DFT formation energy in eV per atom: -0.4872

abc: 4.5248 4.5248 6.4608
angles: 90.00 90.00 120.00
Closest atoms and distances in Å follow each position.
Space group P-3m1 (No. 164)
Asymmetric unit:
Tm  0.0000  0.0000  0.0000 [1 per cell]  6 Au 3.09, 6 Ga 3.17, 2 Ag 3.23
Ga  0.3333  0.6667  0.2775 [2 per cell]  3 Au 2.62
Ag  0.0000  0.0000  0.5000 [1 per cell]  6 Ga 2.98, 6 Au 3.06, 2 Tm 3.23
Au  0.3333  0.6667  0.7460 [2 per cell]  3 Ga 2.62

=====

No. 2
Here is TmGaAgAu after structural relaxation from Alexandria. Energies are from PBE.

Summary:
DFT formation energy in eV per atom: -0.4951

abc: 6.7775 6.7775 6.7775
angles: 90.00 90.00 90.00
Closest atoms and distances in Å follow each position.
Space group F-43m (No. 216)
Asymmetric unit:
Tm  0.0000  0.0000  0.0000 [4 per cell]  4 Au 2.93, 4 Ag 2.93
Ga  0.0000  0.0000  0.5000 [4 per cell]  4 Ag 2.93, 4 Au 2.93
Ag  0.2500  0.2500  0.7500 [4 per cell]  4 Tm 2.93, 4 Ga 2.93
Au  0.2500  0.2500  0.2500 [4 per cell]  4 Tm 2.93, 4 Ga 2.93

=====

No. 3
Here is UGaAgAu after structural relaxation from Alexandria. Energies are from PBE.

Summary:
DFT formation energy in eV per atom: -0.0165

abc: 6.8932 6.8932 6.8932
angles: 90.00 90.00 90.00
Closest atoms and distances in Å follow each position.
Space group F-43m (No. 216)
Asymmetric unit:
U  0.0000  0.0000  0.0000 [4 per cell]  4 Au 2.98, 4 Ga 2.98
Ga  0.2500  0.2500  0.7500 [4 per cell]  4 U 2.98, 4 Ag 2.98
Ag  0.0000  0.0000  0.5000 [4 per cell]  4 Ga 2.98, 4 Au 2.98
Au  0.2500  0.2500  0.2500 [4 per cell]  4 U 2.98, 4 Ag 2.98

=====

No. 4
Here is VGaAgAu after structural relaxation from Alexandria. Energies are from PBE.

Summary:
DFT formation energy in eV per atom: 0.0816

abc: 6.4465 6.4465 6.4465
angles: 90.00 90.00 90.00
Closest atoms and distances in Å follow each position.
Space group F-43m (No. 216)
Asymmetric unit:
V  0.0000  0.0000  0.0000 [4 per cell]  4 Au 2.79, 4 Ga 2.79
Ga  0.2500  0.2500  0.7500 [4 per cell]  4 V 2.79, 4 Ag 2.79
Ag  0.0000  0.0000  0.5000 [4 per cell]  4 Ga 2.79, 4 Au 2.79
Au  0.2500  0.2500  0.2500 [4 per cell]  4 V 2.79, 4 Ag 2.79

=====

No. 5
Here is Y2Ga4AgAu3 after structural relaxation from Alexandria. Energies are from PBE.

Summary:
DFT formation energy in eV per atom: -0.5530

abc: 4.2590 4.2590 11.0801
angles: 90.00 90.00 90.00
Closest atoms and distances in Å follow each position.
Space group P-4m2 (No. 115)
Asymmetric unit:
Y  0.0000  0.5000  0.2482 [2 per cell]  8 Ga 3.25-3.51, 6 Au 3.26-3.48, 2 Ag 3.48
Ga  0.0000  0.0000  0.5000 [1 per cell]  4 Au 2.62
Ga  0.0000  0.5000  0.8628 [2 per cell]  3 Au 2.49-2.62, 2 Ag 2.62
Ga  0.5000  0.5000  0.5000 [1 per cell]  4 Au 2.62
Ag  0.5000  0.5000  0.0000 [1 per cell]  4 Ga 2.62
Au  0.0000  0.0000  0.0000 [1 per cell]  4 Ga 2.62
Au  0.0000  0.5000  0.6384 [2 per cell]  5 Ga 2.49-2.62

=====

No. 6
Here is YGa2AgAu5 after structural relaxation from Alexandria. Energies are from PBE.

Summary:
DFT formation energy in eV per atom: -0.2850

abc: 4.5984 4.5984 8.6096
angles: 90.00 90.00 90.00
Closest atoms and distances in Å follow each position.
Space group P4/mmm (No. 123)
Asymmetric unit:
Y  0.0000  0.0000  0.0000 [1 per cell]  12 Au 3.02-3.25
Ga  0.5000  0.5000  0.3601 [2 per cell]  1 Ga 2.41, 4 Au 2.57
Ag  0.0000  0.0000  0.5000 [1 per cell]  8 Au 3.28, 8 Ga 3.47
Au  0.0000  0.5000  0.2277 [4 per cell]  2 Ga 2.57
Au  0.5000  0.5000  0.0000 [1 per cell]  8 Au 3.02, 2 Ga 3.10, 4 Y 3.25

=====

No. 7
Here is Zn2GaAg2Au5 after structural relaxation from Alexandria. Energies are from PBE.

Summary:
DFT formation energy in eV per atom: -0.0886

abc: 9.9191 9.9191 3.6650
angles: 90.00 90.00 90.00
Closest atoms and distances in Å follow each position.
Space group P4/mbm (No. 127)
Asymmetric unit:
Zn  0.1361  0.3639  0.0000 [4 per cell]  6 Au 2.65-2.68, 3 Ag 2.88-2.94
Ga  0.0000  0.0000  0.0000 [2 per cell]  8 Au 2.75
Ag  0.1541  0.6541  0.0000 [4 per cell]  6 Au 2.83-2.90, 3 Zn 2.88-2.94
Au  0.0000  0.5000  0.5000 [2 per cell]  4 Zn 2.65, 4 Ag 2.83
Au  0.1198  0.1679  0.5000 [8 per cell]  2 Zn 2.68, 2 Ga 2.75, 3 Au 2.89-2.98, 2 Ag 2.90

=====

No. 8
Here is ZnGa2AgAu5 after structural relaxation from Alexandria. Energies are from PBE.

Summary:
DFT formation energy in eV per atom: -0.1218

abc: 3.5119 15.0175 12.5525
angles: 90.00 90.00 90.00
Closest atoms and distances in Å follow each position.
Space group Cmc2_1 (No. 36)
Asymmetric unit:
Zn  0.0000  0.1075  0.0000 [4 per cell]  6 Au 2.63-2.73, 2 Ag 2.77
Ga  0.0000  0.3799  0.8828 [4 per cell]  6 Au 2.66-2.96
Ga  0.0000  0.3864  0.2013 [4 per cell]  8 Au 2.63-2.79
Ag  0.0000  0.2498  0.5037 [4 per cell]  2 Zn 2.77, 5 Au 2.80-2.87, 2 Ga 3.03
Au  0.0000  0.0119  0.8236 [4 per cell]  1 Zn 2.64, 4 Ga 2.75-2.79, 1 Au 2.95
Au  0.0000  0.0658  0.5398 [4 per cell]  1 Zn 2.65, 4 Ga 2.76-2.78, 1 Ag 2.80, 1 Au 2.95
Au  0.0000  0.2088  0.8295 [4 per cell]  1 Zn 2.63, 3 Ga 2.66-2.78, 2 Au 2.85, 2 Ag 2.87
Au  0.0000  0.2123  0.1781 [4 per cell]  1 Ga 2.63, 1 Zn 2.73, 4 Au 2.85, 2 Ag 2.86
Au  0.0000  0.4362  0.6572 [4 per cell]  2 Ga 2.72-2.96, 2 Zn 2.72, 6 Au 2.85-3.01